(1)
## Sc2HgRh (SCAN)

Data for Sc2HgRh at its PBEsol-relaxed geometry.

Computed properties:
Formation energy   -891.9 meV per atom
Total DFT energy (no corrections)   -33.4948 eV per atom
Symmetry   No. 123

Cell lengths 3.1678, 3.1678, 7.3514 Å; angles 90.00, 90.00, 90.00 degrees
Atoms (fractional coordinates):
Sc 0.0000 0.0000 0.7209
Sc 0.0000 0.0000 0.2791
Rh 0.5000 0.5000 0.5000
Hg 0.5000 0.5000 0.0000

---

(2)
## Sc2HgRh (SCAN)

Data for Sc2HgRh at its PBEsol-relaxed geometry.

Computed properties:
Formation energy   -337.5 meV per atom
Total DFT energy (no corrections)   -32.9404 eV per atom
Symmetry   No. 166

Cell lengths 3.4944, 3.4944, 9.2182 Å; angles 79.07, 79.07, 60.00 degrees
Atoms (fractional coordinates):
Sc 0.8911 0.8911 0.3267
Sc 0.1089 0.1089 0.6733
Rh 0.5000 0.5000 0.5000
Hg 0.0000 0.0000 0.0000

---

(3)
## Hg2RhSe (SCAN)

Data for Hg2RhSe at its PBEsol-relaxed geometry.

Computed properties:
Total DFT energy (no corrections)   -47.6900 eV per atom
Symmetry   No. 160

Cell lengths 3.3739, 3.3739, 8.5089 Å; angles 78.56, 78.56, 60.00 degrees
Atoms (fractional coordinates):
Rh 0.5089 0.5089 0.4732
Hg 0.0009 0.0009 0.9974
Hg 0.7600 0.7600 0.7199
Se 0.2301 0.2301 0.3096